RbLiTaV2: relaxed, PBE.

calculated volume	26.277	A^3/atom
magnetic moment	0.00	Bohr magnetons per cell
energy of formation from the pure elements	1.383	eV per atom

Cell lengths 4.7040, 4.7040, 5.9377 Å; angles 90.00, 90.00, 90.00 degrees
Positions (direct):
Rb  0.0000  0.0000  0.0000
Li  0.5000  0.5000  0.0000
Ta  0.5000  0.5000  0.5000
V  0.0000  0.5000  0.5000
V  0.5000  0.0000  0.5000